(1)
meta-GGA SCAN ZnIn3AsSe4, single point on PBEsol structure; E_form (uncorrected) = -593 meV/atom
1.0
5.7759 0.0000 0.0000
2.8628 6.4610 0.0000
2.8855 -0.0374 6.4935
Zn In As Se
1 3 1 4
direct
0.0000 0.0000 0.0000 Zn
0.1720 0.4100 0.1936 In
0.5753 0.2071 0.5960 In
0.7755 0.6175 0.8034 In
0.6556 0.2894 0.9029 As
0.0581 0.0775 0.2985 Se
0.2425 0.5450 0.4851 Se
0.4073 0.9005 0.6795 Se
0.7926 0.7371 0.1250 Se

(2)
meta-GGA SCAN Al2CdAs, single point on PBEsol structure; D(E_F) = 1.80 states/eV/f.u.; E_form = 0.230 eV per atom; relative energy among the computed polymorphs = 0.103 eV/atom
1.0
0.0000 3.3486 3.3486
3.3486 0.0000 3.3486
3.3486 3.3486 0.0000
Al Cd As
2 1 1
direct
0.2500 0.2500 0.2500 Al
0.7500 0.7500 0.7500 Al
0.0000 0.0000 0.0000 Cd
0.5000 0.5000 0.5000 As

(3)
meta-GGA SCAN Rb2SiSn, single point on PBEsol structure; E_form (uncorrected) = 489 meV/atom
1.0
0.0000 4.1266 4.1266
4.1266 0.0000 4.1266
4.1266 4.1266 0.0000
Rb Si Sn
2 1 1
direct
0.2500 0.2500 0.2500 Rb
0.7500 0.7500 0.7500 Rb
0.0000 0.0000 0.0000 Si
0.5000 0.5000 0.5000 Sn

(4)
meta-GGA SCAN Na2ScTa, single point on PBEsol structure; D(E_F) = 4.22 states/eV/f.u.; E_form = 1.291 eV per atom
1.0
-4.1406 4.1406 2.6692
4.1406 -4.1406 2.6692
4.1406 4.1406 -2.6692
Na Sc Ta
4 2 2
direct
0.1216 0.6250 0.9966 Na
0.3750 0.3716 0.4966 Na
0.6284 0.1250 0.0034 Na
0.8750 0.8784 0.5034 Na
0.0000 0.0000 0.0000 Sc
0.7500 0.2500 0.5000 Sc
0.2500 0.7500 0.5000 Ta
0.5000 0.5000 0.0000 Ta

(5)
meta-GGA SCAN IrRu3, single point on PBEsol structure; D(E_F) = 3.27 states/eV/f.u.; E_form = -0.012 eV per atom
1.0
5.3692 0.0000 0.0000
-2.6846 4.6498 0.0000
0.0000 0.0000 8.6541
Ir Ru
4 12
direct
0.0000 0.0000 0.0000 Ir
0.0000 0.0000 0.5000 Ir
0.3333 0.6667 0.2500 Ir
0.6667 0.3333 0.7500 Ir
0.0000 0.5000 0.0000 Ru
0.0000 0.5000 0.5000 Ru
0.1677 0.3355 0.7500 Ru
0.1677 0.8323 0.7500 Ru
0.3355 0.1677 0.2500 Ru
0.5000 0.0000 0.0000 Ru
0.5000 0.0000 0.5000 Ru
0.5000 0.5000 0.0000 Ru
0.5000 0.5000 0.5000 Ru
0.6645 0.8323 0.7500 Ru
0.8323 0.1677 0.2500 Ru
0.8323 0.6645 0.2500 Ru

(6)
meta-GGA SCAN BaAlAu, single point on PBEsol structure; D(E_F) = 3.22 states/eV/f.u.; E_form = -0.034 eV per atom
1.0
0.0000 3.5101 3.5101
3.5101 0.0000 3.5101
3.5101 3.5101 0.0000
Ba Al Au
1 1 1
direct
0.0000 0.0000 0.0000 Ba
0.2500 0.2500 0.2500 Al
0.5000 0.5000 0.5000 Au

(7)
meta-GGA SCAN CaSnTeI2, single point on PBEsol structure; E_form (uncorrected) = -438 meV/atom; D(E_F) = 0.71 states/eV/f.u.
1.0
5.7906 0.0000 0.0000
0.0000 5.7906 0.0000
0.0000 0.0000 5.9453
Ca Sn Te I
1 1 1 2
direct
0.0000 0.0000 0.0000 Ca
0.5000 0.5000 0.5000 Sn
0.5000 0.5000 0.0000 Te
0.0000 0.5000 0.5000 I
0.5000 0.0000 0.5000 I

(8)
meta-GGA SCAN OsRuPt2, single point on PBEsol structure; D(E_F) = 2.88 states/eV/f.u.; E_form = 0.023 eV per atom; relative energy among the computed polymorphs = 0.037 eV/atom
1.0
2.7169 0.0000 0.0000
0.0000 3.8259 0.0000
0.0000 0.0000 5.4857
Os Ru Pt
1 1 2
direct
0.0000 0.0000 0.0000 Os
0.5000 0.5000 0.7763 Ru
0.0000 0.0000 0.5167 Pt
0.5000 0.5000 0.2578 Pt

VASP energy (eV/atom)
-24.39; -16.30; -21.36; -21.02; -43.91; -38.85; -31.70; -61.75
Volume (Å³ per cell)
242.3; 75.1; 140.5; 183.0; 216.1; 86.5; 199.4; 57.0
Spin magnetization (μB/f.u.)
0.0; 0.0; 0.0; 0.5; 0.0; 0.0; 0.0; 0.0